The following is a DFT calculation (PBE+U) of MgNiIrO6 after structural relaxation.

Unit cell a=5.0744 b=5.0744 c=8.8385 alpha=90.00 beta=90.00 gamma=120.00
Space group P-31c (No. 163)
Inequivalent atoms, fractional coordinates:
Mg (0.0000, 0.0000, 0.0000) x2
Ni (0.3333, 0.6667, 0.2500) x2
Ir (0.3333, 0.6667, 0.7500) x2
O (0.0171, 0.3579, 0.6306) x12

Summary:
E (eV/atom): -5.7605
N(E_F) (states/eV per atom): 0.404
Magnetic moment (μB per formula unit): 1.7